one | # LiIn2Cl (PBE, optimized geometry)
data_LiIn2Cl
_chemical_formula_sum 'Li2 In4 Cl2'
_symmetry_space_group_name_H-M 'I m m 2'
_symmetry_Int_Tables_number 44
_symmetry_space_group_name_Hall 'I 2 -2'
_cell_length_a 3.3469
_cell_length_b 5.6466
_cell_length_c 10.3083
_cell_angle_alpha 90.00
_cell_angle_beta 90.00
_cell_angle_gamma 90.00
loop_
_atom_site_label
_atom_site_fract_x
_atom_site_fract_y
_atom_site_fract_z
Li1 0.0000 0.0000 0.0000
In1 0.0000 0.0000 0.4571
In2 0.0000 0.5000 0.2415
Cl1 0.0000 0.5000 0.6511
# * theoretical density: 4.64 Mg/m³
# * spin magnetization: 0.00 μB/cell

=====

two | # LiIn2Cl (PBE, optimized geometry)
data_LiIn2Cl
_chemical_formula_sum 'Li1 In2 Cl1'
_symmetry_space_group_name_H-M 'P m m m'
_symmetry_Int_Tables_number 47
_symmetry_space_group_name_Hall '-P 2 2'
_cell_length_a 4.0258
_cell_length_b 4.1390
_cell_length_c 7.0217
_cell_angle_alpha 90.00
_cell_angle_beta 90.00
_cell_angle_gamma 90.00
loop_
_atom_site_label
_atom_site_fract_x
_atom_site_fract_y
_atom_site_fract_z
Li1 0.0000 0.0000 0.0000
In1 0.0000 0.5000 0.5000
In2 0.5000 0.0000 0.5000
Cl1 0.5000 0.5000 0.0000
# * theoretical density: 3.86 Mg/m³
# * spin magnetization: 0.00 μB/cell

=====

Which structure loses on stability? two does.